[1]
The following is a DFT calculation (GGA-PBE) of crystalline MgRe2As at its relaxed geometry.

Cell: 2.947 4.331 5.156 Å, 90.00 106.50 90.00°
Space group Pm (No. 6)
Unique sites:
Mg 0.000 0.000 0.000 x1
Re 0.263 0.000 0.521 x1
Re 0.672 0.500 0.337 x1
As 0.401 0.500 0.800 x1

Calculated formation energy: 233 meV/atom
Distance to the lowest polymorph of the same formula: 58 kJ/mol of formula units
Total magnetization: 0.0 Bohr magnetons per cell

[2]
The following is a DFT calculation (GGA-PBE) of crystalline MgReAs2 at its relaxed geometry.

Cell: 3.181 3.402 13.348 Å, 90.00 90.00 90.00°
Space group Imm2 (No. 44)
Unique sites:
Mg 0.000 0.000 0.000 x2
Re 0.000 0.500 0.742 x2
As 0.000 0.000 0.388 x2
As 0.000 0.500 0.159 x2

Calculated formation energy: -30 meV/atom
Total magnetization: 0.0 Bohr magnetons per cell

[3]
The following is a DFT calculation (GGA-PBE) of crystalline Mg2ReAs at its relaxed geometry.

Cell: 3.488 4.477 8.840 Å, 90.00 90.00 90.00°
Space group Cmmm (No. 65)
Unique sites:
Mg 0.000 0.000 0.241 x4
Re 0.000 0.500 0.000 x2
As 0.000 0.500 0.500 x2

Calculated formation energy: 147 meV/atom
Total magnetization: 0.0 Bohr magnetons per cell

[4]
The following is a DFT calculation (GGA-PBE) of crystalline MgRe2As at its relaxed geometry.

Cell: 7.640 7.640 4.910 Å, 90.00 90.00 90.00°
Space group I-42d (No. 122)
Unique sites:
Mg 0.000 0.000 0.000 x4
Re 0.181 0.250 0.625 x8
As 0.000 0.000 0.500 x4

Calculated formation energy: 711 meV/atom
Distance to the lowest polymorph of the same formula: 242 kJ/mol of formula units
Total magnetization: 0.0 Bohr magnetons per cell

[5]
The following is a DFT calculation (GGA-PBE) of crystalline MgRe2As at its relaxed geometry.

Cell: 2.992 4.527 9.448 Å, 90.00 90.00 90.00°
Space group Immm (No. 71)
Unique sites:
Mg 0.000 0.000 0.000 x2
Re 0.000 0.500 0.213 x4
As 0.000 0.000 0.500 x2

Calculated formation energy: 327 meV/atom
Distance to the lowest polymorph of the same formula: 94 kJ/mol of formula units
Total magnetization: 0.0 Bohr magnetons per cell

[6]
The following is a DFT calculation (GGA-PBE) of crystalline MgReAs2 at its relaxed geometry.

Cell: 6.437 6.437 6.437 Å, 90.00 90.00 90.00°
Space group F-43m (No. 216)
Unique sites:
Mg 0.000 0.000 0.000 x4
Re 0.250 0.250 0.750 x4
As 0.000 0.000 0.500 x4
As 0.250 0.250 0.250 x4

Calculated formation energy: 604 meV/atom
Total magnetization: 0.0 Bohr magnetons per cell